Material: ErSiRh
Method: DFT, PBE-GGA
State: relaxed

Cell and atoms, written as POSCAR:
```
ErSiRh
1.0
4.183 0.000 0.000
-2.091 3.622 0.000
0.000 0.000 3.721
Er Si Rh
1 1 1
Direct
0.000 0.000 0.000
0.333 0.667 0.500
0.667 0.333 0.500
```

Output
Size of the total moment in μB/f.u.: 0.00
Formation energy (no corrections) in eV/atom: -0.952
DFT total energy in eV per atom: -6.731